[1]
DFT (GGA-PBEsol) results for an optimized crystal structure of CdHg5.

```
CdHg5
1.0
4.4248 0.0000 0.0000
0.0000 5.0540 0.0000
-2.2124 0.0000 6.1989
Hg Cd
5 1
Cartesian
0.0000 2.5270 0.0000
2.2124 2.5270 2.0532
0.0000 0.0000 2.0459
0.0000 2.5270 4.1457
2.2124 0.0000 4.1530
2.2124 0.0000 0.0000
```

Calculated values
Total DFT energy (no corrections) = -0.6565 eV/atom
Formation energy = 15 meV per atom

[2]
DFT (GGA-PBEsol) results for an optimized crystal structure of Cd3Hg.

```
Cd3Hg
1.0
3.5326 0.0000 -0.6770
0.0000 4.1142 0.0000
-2.4429 0.0000 6.3618
Cd Hg
3 1
Cartesian
1.7663 2.0571 -0.3385
0.8167 0.0000 4.2653
0.2729 0.0000 1.4195
-1.2215 2.0571 3.1809
```

Calculated values
Total DFT energy (no corrections) = -1.0460 eV/atom
Formation energy = -7 meV per atom

[3]
DFT (GGA-PBEsol) results for an optimized crystal structure of Cd3Hg.

```
Cd3Hg
1.0
-1.4312 -2.2341 -1.1898
4.0951 -0.7713 -3.4778
1.0397 -1.9066 5.8825
Cd Hg
3 1
Cartesian
1.1687 -1.6800 1.7487
2.5349 -3.2320 -0.5338
-0.7156 -1.1171 -0.5949
2.0476 -0.3856 -1.7389
```

Calculated values
Total DFT energy (no corrections) = -1.0366 eV/atom
Formation energy = 3 meV per atom

[4]
DFT (GGA-PBEsol) results for an optimized crystal structure of CdHg5.

```
CdHg5
1.0
-2.3959 2.5288 4.8297
-5.6004 2.0176 -0.1634
-4.2736 -2.8289 3.0323
Cd Hg
1 5
Cartesian
0.0000 0.0000 0.0000
-4.6010 0.6440 2.8868
-9.2025 1.2881 5.7740
-6.7381 -0.7707 4.4032
-7.4016 1.6529 2.8051
-5.7992 1.9086 5.3021
```

Calculated values
Total DFT energy (no corrections) = -0.5512 eV/atom
Formation energy = 121 meV per atom

[5]
DFT (GGA-PBEsol) results for an optimized crystal structure of Cd4Hg3.

```
Cd4Hg3
1.0
-1.1014 2.2822 -2.9647
1.3107 -2.6593 -2.5340
-9.1172 -4.2144 2.7084
Hg Cd
3 4
Cartesian
-3.7323 -2.0630 -2.7668
-5.1757 -2.5285 -0.0235
0.0000 0.0000 0.0000
-1.1690 -0.8108 -2.7552
-6.3169 -3.3257 -2.7786
-7.7390 -3.7808 -0.0352
-2.5911 -1.2658 -0.0118
```

Calculated values
Total DFT energy (no corrections) = -0.9425 eV/atom
Formation energy = -16 meV per atom

[6]
DFT (GGA-PBEsol) results for an optimized crystal structure of Cd3Hg.

```
Cd3Hg
1.0
4.9614 0.0000 0.0000
2.4807 4.2967 0.0000
2.4807 1.4322 4.0509
Cd Hg
3 1
Cartesian
2.4807 1.4322 1.0127
0.0000 0.0000 0.0000
7.4421 4.2967 3.0382
4.9614 2.8645 2.0255
```

Calculated values
Total DFT energy (no corrections) = -0.9886 eV/atom
Formation energy = 51 meV per atom

[7]
DFT (GGA-PBEsol) results for an optimized crystal structure of Cd2Hg.

```
Cd2Hg
1.0
-1.5768 -0.9202 2.4936
-1.5608 -4.5488 -2.6655
6.9160 -3.1354 1.3011
Hg Cd
2 4
Cartesian
0.2213 -4.2283 -1.4204
3.5571 -4.3761 2.5496
4.3044 -6.6242 0.2774
-0.5260 -1.9802 0.8518
1.4842 -5.8921 0.6794
2.2942 -2.7123 0.4498
```

Calculated values
Total DFT energy (no corrections) = -0.9878 eV/atom
Formation energy = -1 meV per atom

[8]
DFT (GGA-PBEsol) results for an optimized crystal structure of Cd3Hg.

```
Cd3Hg
1.0
-2.1579 4.8696 -1.5763
-4.0789 -2.6695 -2.6629
-3.0920 0.1230 4.6129
Hg Cd
2 6
Cartesian
-4.6644 1.1616 0.1869
0.0000 0.0000 0.0000
-2.5789 -0.1173 -1.7255
-2.5657 -0.6059 1.6407
-4.6052 -1.9406 0.3093
-3.6579 2.3175 -2.5137
-1.8520 2.4656 0.3651
-3.3980 2.5271 2.6715
```

Calculated values
Total DFT energy (no corrections) = -1.0198 eV/atom
Formation energy = 20 meV per atom